(1)
VASP calculation (PBE) on a relaxed Pm2Pr3Dy6Pb crystal.

SG: C2/m
total magnetization: 0.0 μB per formula unit
calculated volume: 32.20 Å³/atom
raw total energy: -4.66 eV/atom

```
Pm2Pr3Dy6Pb
1.0
6.190 -0.001 0.008
-3.094 5.361 0.008
-1.054 -1.826 11.640
Pm Pb Pr Dy
2 1 3 6
direct
0.666 0.334 0.000 Pm
0.334 0.666 0.000 Pm
0.000 0.000 0.000 Pb
0.500 0.500 0.500 Pr
0.832 0.168 0.500 Pr
0.168 0.832 0.500 Pr
0.245 0.245 0.753 Dy
0.593 0.919 0.755 Dy
0.755 0.755 0.247 Dy
0.081 0.407 0.245 Dy
0.407 0.081 0.245 Dy
0.919 0.593 0.755 Dy
```

=====

(2)
VASP calculation (PBE) on a relaxed La3Pr4Nd crystal.

SG: Pmn2_1
total magnetization: 0.0 μB per formula unit
calculated volume: 36.76 Å³/atom
E above lowest polymorph: 0.0230 eV/atom
raw total energy: -4.80 eV/atom

```
La3Pr4Nd
1.0
-3.809 4.197 3.165
-5.660 -4.908 -0.304
3.541 -4.735 10.540
Pr Nd La
8 2 6
direct
0.106 0.375 0.750 Pr
0.274 0.127 0.000 Pr
0.106 0.375 0.250 Pr
0.606 0.625 0.750 Pr
0.274 0.626 0.000 Pr
0.606 0.625 0.250 Pr
0.774 0.873 0.500 Pr
0.774 0.374 0.500 Pr
0.273 0.624 0.500 Nd
0.773 0.376 0.000 Nd
0.604 0.124 0.249 La
0.104 0.876 0.749 La
0.604 0.124 0.751 La
0.104 0.876 0.251 La
0.775 0.875 0.000 La
0.275 0.125 0.500 La
```

=====

(3)
VASP calculation (PBE) on a relaxed LiTb2TeO6 crystal.

SG: R3
total magnetization: 0.5 μB per formula unit
calculated volume: 13.86 Å³/atom
energy relative to the elements, uncorrected: -2.3773 eV per atom
raw total energy: -6.78 eV/atom

```
LiTb2TeO6
1.0
-0.537 -3.713 -4.251
4.618 -2.242 -2.407
1.254 -5.727 1.062
Tb O Te Li
2 6 1 1
direct
0.025 0.025 0.924 Tb
0.530 0.530 0.410 Tb
0.955 0.594 0.240 O
0.594 0.212 0.240 O
0.429 0.683 0.766 O
0.122 0.429 0.766 O
0.683 0.122 0.766 O
0.212 0.955 0.240 O
0.320 0.320 0.040 Te
0.792 0.792 0.623 Li
```

=====

(4)
VASP calculation (PBE) on a relaxed La2PrUAs4 crystal.

SG: P2/m
total magnetization: 2.3 μB per formula unit
calculated volume: 27.72 Å³/atom
raw total energy: -6.89 eV/atom

```
La2PrUAs4
1.0
4.264 0.000 0.000
0.000 7.409 0.143
0.000 -2.576 6.969
La As Pr U
2 4 1 1
direct
0.000 0.500 0.500 La
0.500 0.000 0.500 La
0.500 0.743 0.760 As
0.000 0.263 0.765 As
0.000 0.737 0.235 As
0.500 0.257 0.240 As
0.000 0.000 0.000 Pr
0.500 0.500 0.000 U
```

=====

(5)
VASP calculation (PBE) on a relaxed SrTeN2F crystal.

SG: P4/mmm
total magnetization: 4.7 μB per formula unit
calculated volume: 20.51 Å³/atom
energy relative to the elements, uncorrected: 0.8745 eV per atom
E above lowest polymorph: 1.2365 eV/atom
raw total energy: -3.79 eV/atom

```
SrTeN2F
1.0
-3.071 2.670 2.772
-3.209 0.180 -3.729
-1.825 -3.551 1.399
N F Te Sr
2 1 1 1
direct
0.500 0.000 0.000 N
0.000 0.500 0.000 N
0.000 0.000 0.000 F
0.000 0.000 0.500 Te
0.500 0.500 0.500 Sr
```

=====

(6)
VASP calculation (PBE) on a relaxed CaInOF2 crystal.

SG: P4/mmm
total magnetization: 0.0 μB per formula unit
calculated volume: 17.06 Å³/atom
energy relative to the elements, uncorrected: -2.0894 eV per atom
E above lowest polymorph: 0.1135 eV/atom
raw total energy: -4.78 eV/atom

```
CaInOF2
1.0
4.458 0.000 0.000
0.000 4.458 0.000
0.000 0.000 4.292
In Ca F O
1 1 2 1
direct
0.000 0.000 0.000 In
0.500 0.500 0.500 Ca
0.000 0.500 0.000 F
0.500 0.000 0.000 F
0.000 0.000 0.500 O
```

=====

(7)
VASP calculation (PBE) on a relaxed Pa2PdS4Br crystal.

SG: C2/m
total magnetization: 1.1 μB per formula unit
calculated volume: 23.37 Å³/atom
energy relative to the elements, uncorrected: -1.2163 eV per atom
raw total energy: -6.51 eV/atom

```
Pa2PdS4Br
1.0
3.939 0.000 0.000
1.970 5.765 0.283
1.970 1.399 8.302
Pa S Br Pd
2 4 1 1
direct
0.206 0.366 0.222 Pa
0.794 0.634 0.778 Pa
0.621 0.671 0.086 S
0.831 0.050 0.288 S
0.169 0.950 0.712 S
0.379 0.329 0.914 S
0.500 0.500 0.500 Br
0.000 0.000 0.000 Pd
```

=====

(8)
VASP calculation (PBE) on a relaxed LaBeHF2 crystal.

SG: P4/mmm
total magnetization: 0.0 μB per formula unit
calculated volume: 12.51 Å³/atom
raw total energy: -4.40 eV/atom

```
LaBeHF2
1.0
-2.100 -3.546 1.639
2.666 -0.894 1.483
-1.194 2.354 3.564
F H Be La
2 1 1 1
direct
0.500 0.000 0.000 F
0.000 0.000 0.500 F
0.000 0.000 0.000 H
0.000 0.500 0.000 Be
0.500 0.500 0.500 La
```